1.
{"formula": "MgCdBr", "functional": "PBEsol", "state": "relaxed", "raw_formation_energy_kj_per_mol_atoms": -43, "sg": "No. 156", "lattice_angstrom": [[3.6853, 0.0000, 0.0000], [-1.8427, 3.1916, 0.0000], [0.0000, 0.0000, 6.4141]], "species": ["Mg", "Cd", "Br"], "fractional_positions": [[0.0000, 0.0000, 0.0000], [0.6667, 0.3333, 0.3055], [0.3333, 0.6667, 0.7385]]}


2.
{"formula": "Li3SbP", "functional": "PBEsol", "state": "relaxed", "raw_formation_energy_kj_per_mol_atoms": -17, "sg": "No. 221", "lattice_angstrom": [[4.5824, 0.0000, 0.0000], [0.0000, 4.5824, 0.0000], [0.0000, 0.0000, 4.5824]], "species": ["Li", "Li", "Li", "Sb", "P"], "fractional_positions": [[0.0000, 0.0000, 0.5000], [0.0000, 0.5000, 0.0000], [0.5000, 0.0000, 0.0000], [0.5000, 0.5000, 0.5000], [0.0000, 0.0000, 0.0000]]}